The following is a DFT calculation (PBE-GGA) of Cu2NiP2 after structural relaxation.

a b c (Å): 5.7196 5.7196 4.1978
angles (deg): 90.00 90.00 90.00
Atoms (fractional coordinates):
Cu  0.2416  0.2584  0.0000
Cu  0.2584  0.7584  0.0000
Cu  0.7416  0.2416  0.0000
Cu  0.7584  0.7416  0.0000
Ni  0.0000  0.0000  0.5000
Ni  0.5000  0.5000  0.5000
P  0.1362  0.3638  0.5000
P  0.3638  0.8638  0.5000
P  0.6362  0.1362  0.5000
P  0.8638  0.6362  0.5000

Computed properties:
The value obtained for the formation energy is -0.10 eV/atom. For the volume, the calculation gives 68.66 Å³/f.u.

The following is a DFT calculation (PBE-GGA) of CuNi2P after structural relaxation.

a b c (Å): 7.5229 7.5229 7.5229
angles (deg): 20.70 20.70 20.70
Atoms (fractional coordinates):
Cu  0.0000  0.0000  0.0000
Ni  0.2416  0.2416  0.2416
Ni  0.7584  0.7584  0.7584
P  0.5000  0.5000  0.5000

Computed properties:
The value obtained for the formation energy is -0.11 eV/atom. For the volume, the calculation gives 46.58 Å³/f.u.

The following is a DFT calculation (PBE-GGA) of CuNiP2 after structural relaxation.

a b c (Å): 9.2377 9.2377 9.2377
angles (deg): 16.64 16.64 16.64
Atoms (fractional coordinates):
Cu  0.0000  0.0000  0.0000
Ni  0.7437  0.7437  0.7437
P  0.2640  0.2640  0.2640
P  0.4709  0.4709  0.4709

Computed properties:
The value obtained for the formation energy is 0.20 eV/atom. For the volume, the calculation gives 56.37 Å³/f.u.

The following is a DFT calculation (PBE-GGA) of CuNiP2 after structural relaxation.

a b c (Å): 2.6536 3.7397 5.1935
angles (deg): 90.00 90.00 90.00
Atoms (fractional coordinates):
Cu  0.0000  0.0000  0.0000
Ni  0.5000  0.5000  0.3241
P  0.0000  0.0000  0.4613
P  0.5000  0.5000  0.8515

Computed properties:
The value obtained for the formation energy is 0.07 eV/atom. For the volume, the calculation gives 51.54 Å³/f.u.

The following is a DFT calculation (PBE-GGA) of CuNiP2 after structural relaxation.

a b c (Å): 7.7147 7.7147 7.7147
angles (deg): 150.60 150.60 42.06
Atoms (fractional coordinates):
Cu  0.0000  0.0000  0.0000
Cu  0.7500  0.2500  0.5000
Ni  0.2500  0.7500  0.5000
Ni  0.5000  0.5000  0.0000
P  0.1633  0.6250  0.0383
P  0.3750  0.4133  0.5383
P  0.5867  0.1250  0.9617
P  0.8750  0.8367  0.4617

Computed properties:
The value obtained for the formation energy is -0.05 eV/atom. For the volume, the calculation gives 55.19 Å³/f.u.

The following is a DFT calculation (PBE-GGA) of CuNiP2 after structural relaxation.

a b c (Å): 3.3409 3.3409 4.6404
angles (deg): 90.00 90.00 90.00
Atoms (fractional coordinates):
Cu  0.0000  0.0000  0.0000
Ni  0.5000  0.5000  0.3314
P  0.0000  0.0000  0.4939
P  0.5000  0.5000  0.8244

Computed properties:
The value obtained for the formation energy is 0.08 eV/atom. For the volume, the calculation gives 51.79 Å³/f.u.

The following is a DFT calculation (PBE-GGA) of Pa2CuNi3P4 after structural relaxation.

a b c (Å): 4.0971 4.0971 8.8061
angles (deg): 90.00 90.00 90.00
Atoms (fractional coordinates):
Pa  0.0000  0.5000  0.2433
Pa  0.5000  0.0000  0.7567
Cu  0.0000  0.0000  0.5000
Ni  0.0000  0.5000  0.8904
Ni  0.5000  0.0000  0.1096
Ni  0.5000  0.5000  0.5000
P  0.0000  0.0000  0.0000
P  0.0000  0.5000  0.6371
P  0.5000  0.0000  0.3629
P  0.5000  0.5000  0.0000

Computed properties:
The value obtained for the formation energy is -0.82 eV/atom. For the volume, the calculation gives 147.82 Å³/f.u.

The following is a DFT calculation (PBE-GGA) of Pm2CuNi4P3 after structural relaxation.

a b c (Å): 4.0013 4.0013 9.2994
angles (deg): 90.00 90.00 90.00
Atoms (fractional coordinates):
Pm  0.0000  0.5000  0.2482
Pm  0.5000  0.0000  0.7518
Cu  0.0000  0.0000  0.5000
Ni  0.0000  0.0000  0.0000
Ni  0.0000  0.5000  0.6255
Ni  0.5000  0.0000  0.3745
Ni  0.5000  0.5000  0.0000
P  0.0000  0.5000  0.8688
P  0.5000  0.0000  0.1312
P  0.5000  0.5000  0.5000

Computed properties:
The value obtained for the formation energy is -0.87 eV/atom. For the volume, the calculation gives 148.88 Å³/f.u.

The following is a DFT calculation (PBE-GGA) of PrCuNiP2 after structural relaxation.

a b c (Å): 5.9358 5.9358 5.9358
angles (deg): 141.47 141.47 55.62
Atoms (fractional coordinates):
Pr  0.0000  0.0000  0.0000
Cu  0.2500  0.7500  0.5000
Ni  0.7500  0.2500  0.5000
P  0.3680  0.3680  0.0000
P  0.6320  0.6320  0.0000

Computed properties:
The value obtained for the formation energy is -0.81 eV/atom. For the volume, the calculation gives 80.53 Å³/f.u.

The following is a DFT calculation (PBE-GGA) of Pr2CuNi4P3 after structural relaxation.

a b c (Å): 4.0404 4.0404 9.3366
angles (deg): 90.00 90.00 90.00
Atoms (fractional coordinates):
Pr  0.0000  0.5000  0.2484
Pr  0.5000  0.0000  0.7516
Cu  0.0000  0.0000  0.5000
Ni  0.0000  0.0000  0.0000
Ni  0.0000  0.5000  0.6242
Ni  0.5000  0.0000  0.3758
Ni  0.5000  0.5000  0.0000
P  0.0000  0.5000  0.8701
P  0.5000  0.0000  0.1299
P  0.5000  0.5000  0.5000

Computed properties:
The value obtained for the formation energy is -0.84 eV/atom. For the volume, the calculation gives 152.42 Å³/f.u.

The following is a DFT calculation (PBE-GGA) of PrCu2Ni2P after structural relaxation.

a b c (Å): 4.2026 4.2026 5.6111
angles (deg): 90.00 90.00 90.00
Atoms (fractional coordinates):
Pr  0.0000  0.0000  0.0000
Cu  0.5000  0.5000  0.2297
Cu  0.5000  0.5000  0.7703
Ni  0.0000  0.5000  0.5000
Ni  0.5000  0.0000  0.5000
P  0.0000  0.0000  0.5000

Computed properties:
The value obtained for the formation energy is -0.32 eV/atom. For the volume, the calculation gives 99.10 Å³/f.u.

The following is a DFT calculation (PBE-GGA) of Pu2CuNi3P4 after structural relaxation.

a b c (Å): 4.0339 4.0339 9.0626
angles (deg): 90.00 90.00 90.00
Atoms (fractional coordinates):
Pu  0.0000  0.5000  0.2418
Pu  0.5000  0.0000  0.7582
Cu  0.0000  0.0000  0.5000
Ni  0.0000  0.5000  0.8883
Ni  0.5000  0.0000  0.1117
Ni  0.5000  0.5000  0.5000
P  0.0000  0.0000  0.0000
P  0.0000  0.5000  0.6393
P  0.5000  0.0000  0.3607
P  0.5000  0.5000  0.0000

Computed properties:
The value obtained for the formation energy is -0.78 eV/atom. For the volume, the calculation gives 147.47 Å³/f.u.